# 1
Here is an optimized crystal structure of LuBeCuGe from OQMD via LeMat-Bulk. Energies are from PBE.

## Properties
The crystal system is cubic. The value obtained for the total moment is 0.000 μB/atom. The symmetry is F-43m, No. 216. The final energy comes out at -4.179 eV/atom. The energy above the most stable polymorph in this dataset is 0.0 meV per atom. The value obtained for the density is 8.63 g cm⁻³.

Cell and atoms, written as CIF:
```
data_LuBeCuGe
_chemical_formula_sum 'Lu1 Be1 Cu1 Ge1'
_cell_length_a 4.433
_cell_length_b 4.433
_cell_length_c 4.433
_cell_angle_alpha 60.00
_cell_angle_beta 60.00
_cell_angle_gamma 60.00
_space_group_name_H-M_alt 'P 1'
_space_group_IT_number 1
loop_
_space_group_symop_operation_xyz
'x,y,z'
loop_
_atom_site_label
_atom_site_type_symbol
_atom_site_fract_x
_atom_site_fract_y
_atom_site_fract_z
Lu1 Lu 0.000 0.000 0.000
Be1 Be 0.250 0.250 0.250
Cu1 Cu 0.750 0.750 0.750
Ge1 Ge 0.500 0.500 0.500
```

# 2
Here is an optimized crystal structure of LuBeCuGe from OQMD via LeMat-Bulk. Energies are from PBE.

## Properties
The crystal system is cubic. The value obtained for the total moment is 0.000 μB/atom. The symmetry is F-43m, No. 216. The final energy comes out at -4.170 eV/atom. The energy above the most stable polymorph in this dataset is 8.9 meV per atom. The value obtained for the density is 8.30 g cm⁻³.

Cell and atoms, written as CIF:
```
data_LuBeCuGe
_chemical_formula_sum 'Lu1 Be1 Cu1 Ge1'
_cell_length_a 4.490
_cell_length_b 4.490
_cell_length_c 4.490
_cell_angle_alpha 60.00
_cell_angle_beta 60.00
_cell_angle_gamma 60.00
_space_group_name_H-M_alt 'P 1'
_space_group_IT_number 1
loop_
_space_group_symop_operation_xyz
'x,y,z'
loop_
_atom_site_label
_atom_site_type_symbol
_atom_site_fract_x
_atom_site_fract_y
_atom_site_fract_z
Lu1 Lu 0.000 0.000 0.000
Be1 Be 0.750 0.750 0.750
Cu1 Cu 0.500 0.500 0.500
Ge1 Ge 0.250 0.250 0.250
```

# 3
Here is an optimized crystal structure of MgBeCu4Ge2 from OQMD via LeMat-Bulk. Energies are from PBE.

## Properties
The crystal system is tetragonal. The symmetry is P4/mmm, No. 123. The final energy comes out at -3.624 eV/atom. The energy above the most stable polymorph in this dataset is 0.0 meV per atom. The value obtained for the density is 6.72 g cm⁻³.

Cell and atoms, written as CIF:
```
data_MgBeCu4Ge2
_chemical_formula_sum 'Mg1 Be1 Cu4 Ge2'
_cell_length_a 4.025
_cell_length_b 4.025
_cell_length_c 6.607
_cell_angle_alpha 90.00
_cell_angle_beta 90.00
_cell_angle_gamma 90.00
_space_group_name_H-M_alt 'P 1'
_space_group_IT_number 1
loop_
_space_group_symop_operation_xyz
'x,y,z'
loop_
_atom_site_label
_atom_site_type_symbol
_atom_site_fract_x
_atom_site_fract_y
_atom_site_fract_z
Mg1 Mg 0.000 0.000 0.000
Be1 Be 0.500 0.500 0.500
Cu1 Cu 0.000 0.500 0.280
Cu2 Cu 0.000 0.500 0.720
Cu3 Cu 0.500 0.000 0.280
Cu4 Cu 0.500 0.000 0.720
Ge1 Ge 0.000 0.000 0.500
Ge2 Ge 0.500 0.500 0.000
```

# 4
Here is an optimized crystal structure of BeCuGeMo from OQMD via LeMat-Bulk. Energies are from PBE.

## Properties
The crystal system is cubic. The value obtained for the total moment is 0.206 μB/atom. The symmetry is F-43m, No. 216. The final energy comes out at -5.204 eV/atom. The energy above the most stable polymorph in this dataset is 277.2 meV per atom. The value obtained for the density is 7.65 g cm⁻³.

Cell and atoms, written as CIF:
```
data_BeCuGeMo
_chemical_formula_sum 'Be1 Cu1 Ge1 Mo1'
_cell_length_a 4.199
_cell_length_b 4.199
_cell_length_c 4.199
_cell_angle_alpha 60.00
_cell_angle_beta 60.00
_cell_angle_gamma 60.00
_space_group_name_H-M_alt 'P 1'
_space_group_IT_number 1
loop_
_space_group_symop_operation_xyz
'x,y,z'
loop_
_atom_site_label
_atom_site_type_symbol
_atom_site_fract_x
_atom_site_fract_y
_atom_site_fract_z
Be1 Be 0.000 0.000 0.000
Cu1 Cu 0.500 0.500 0.500
Ge1 Ge 0.250 0.250 0.250
Mo1 Mo 0.750 0.750 0.750
```

# 5
Here is an optimized crystal structure of BeCuGeMo from OQMD via LeMat-Bulk. Energies are from PBE.

## Properties
The crystal system is cubic. The value obtained for the total moment is 0.001 μB/atom. The symmetry is F-43m, No. 216. The final energy comes out at -5.481 eV/atom. The energy above the most stable polymorph in this dataset is 0.0 meV per atom. The value obtained for the density is 7.74 g cm⁻³.

Cell and atoms, written as CIF:
```
data_BeCuGeMo
_chemical_formula_sum 'Be1 Cu1 Ge1 Mo1'
_cell_length_a 4.182
_cell_length_b 4.182
_cell_length_c 4.182
_cell_angle_alpha 60.00
_cell_angle_beta 60.00
_cell_angle_gamma 60.00
_space_group_name_H-M_alt 'P 1'
_space_group_IT_number 1
loop_
_space_group_symop_operation_xyz
'x,y,z'
loop_
_atom_site_label
_atom_site_type_symbol
_atom_site_fract_x
_atom_site_fract_y
_atom_site_fract_z
Be1 Be 0.000 0.000 0.000
Cu1 Cu 0.750 0.750 0.750
Ge1 Ge 0.500 0.500 0.500
Mo1 Mo 0.250 0.250 0.250
```

# 6
Here is an optimized crystal structure of BeNbCuGe from OQMD via LeMat-Bulk. Energies are from PBE.

## Properties
The crystal system is cubic. The value obtained for the total moment is 0.370 μB/atom. The symmetry is F-43m, No. 216. The final energy comes out at -5.145 eV/atom. The energy above the most stable polymorph in this dataset is 177.1 meV per atom. The value obtained for the density is 7.13 g cm⁻³.

Cell and atoms, written as CIF:
```
data_BeNbCuGe
_chemical_formula_sum 'Be1 Nb1 Cu1 Ge1'
_cell_length_a 4.281
_cell_length_b 4.281
_cell_length_c 4.281
_cell_angle_alpha 60.00
_cell_angle_beta 60.00
_cell_angle_gamma 60.00
_space_group_name_H-M_alt 'P 1'
_space_group_IT_number 1
loop_
_space_group_symop_operation_xyz
'x,y,z'
loop_
_atom_site_label
_atom_site_type_symbol
_atom_site_fract_x
_atom_site_fract_y
_atom_site_fract_z
Be1 Be 0.000 0.000 0.000
Nb1 Nb 0.750 0.750 0.750
Cu1 Cu 0.500 0.500 0.500
Ge1 Ge 0.250 0.250 0.250
```

# 7
Here is an optimized crystal structure of BeNbCuGe from OQMD via LeMat-Bulk. Energies are from PBE.

## Properties
The crystal system is cubic. The value obtained for the total moment is 0.138 μB/atom. The symmetry is F-43m, No. 216. The final energy comes out at -5.323 eV/atom. The energy above the most stable polymorph in this dataset is 0.0 meV per atom. The value obtained for the density is 7.18 g cm⁻³.

Cell and atoms, written as CIF:
```
data_BeNbCuGe
_chemical_formula_sum 'Be1 Nb1 Cu1 Ge1'
_cell_length_a 4.271
_cell_length_b 4.271
_cell_length_c 4.271
_cell_angle_alpha 60.00
_cell_angle_beta 60.00
_cell_angle_gamma 60.00
_space_group_name_H-M_alt 'P 1'
_space_group_IT_number 1
loop_
_space_group_symop_operation_xyz
'x,y,z'
loop_
_atom_site_label
_atom_site_type_symbol
_atom_site_fract_x
_atom_site_fract_y
_atom_site_fract_z
Be1 Be 0.000 0.000 0.000
Nb1 Nb 0.250 0.250 0.250
Cu1 Cu 0.750 0.750 0.750
Ge1 Ge 0.500 0.500 0.500
```

# 8
Here is an optimized crystal structure of BeCuGeOs from OQMD via LeMat-Bulk. Energies are from PBE.

## Properties
The crystal system is cubic. The value obtained for the total moment is 0.000 μB/atom. The symmetry is F-43m, No. 216. The final energy comes out at -5.671 eV/atom. The energy above the most stable polymorph in this dataset is 0.0 meV per atom. The value obtained for the density is 11.18 g cm⁻³.

Cell and atoms, written as CIF:
```
data_BeCuGeOs
_chemical_formula_sum 'Be1 Cu1 Ge1 Os1'
_cell_length_a 4.130
_cell_length_b 4.130
_cell_length_c 4.130
_cell_angle_alpha 60.00
_cell_angle_beta 60.00
_cell_angle_gamma 60.00
_space_group_name_H-M_alt 'P 1'
_space_group_IT_number 1
loop_
_space_group_symop_operation_xyz
'x,y,z'
loop_
_atom_site_label
_atom_site_type_symbol
_atom_site_fract_x
_atom_site_fract_y
_atom_site_fract_z
Be1 Be 0.000 0.000 0.000
Cu1 Cu 0.750 0.750 0.750
Ge1 Ge 0.500 0.500 0.500
Os1 Os 0.250 0.250 0.250
```

# 9
Here is an optimized crystal structure of BeCuGeOs from OQMD via LeMat-Bulk. Energies are from PBE.

## Properties
The crystal system is cubic. The value obtained for the total moment is 0.000 μB/atom. The symmetry is F-43m, No. 216. The final energy comes out at -5.366 eV/atom. The energy above the most stable polymorph in this dataset is 305.6 meV per atom. The value obtained for the density is 10.99 g cm⁻³.

Cell and atoms, written as CIF:
```
data_BeCuGeOs
_chemical_formula_sum 'Be1 Cu1 Ge1 Os1'
_cell_length_a 4.153
_cell_length_b 4.153
_cell_length_c 4.153
_cell_angle_alpha 60.00
_cell_angle_beta 60.00
_cell_angle_gamma 60.00
_space_group_name_H-M_alt 'P 1'
_space_group_IT_number 1
loop_
_space_group_symop_operation_xyz
'x,y,z'
loop_
_atom_site_label
_atom_site_type_symbol
_atom_site_fract_x
_atom_site_fract_y
_atom_site_fract_z
Be1 Be 0.000 0.000 0.000
Cu1 Cu 0.500 0.500 0.500
Ge1 Ge 0.250 0.250 0.250
Os1 Os 0.750 0.750 0.750
```

# 10
Here is an optimized crystal structure of BeCuGePd from OQMD via LeMat-Bulk. Energies are from PBE.

## Properties
The crystal system is cubic. The symmetry is F-43m, No. 216. The final energy comes out at -4.442 eV/atom. The energy above the most stable polymorph in this dataset is 0.0 meV per atom. The value obtained for the density is 8.04 g cm⁻³.

Cell and atoms, written as CIF:
```
data_BeCuGePd
_chemical_formula_sum 'Be1 Cu1 Ge1 Pd1'
_cell_length_a 4.189
_cell_length_b 4.189
_cell_length_c 4.189
_cell_angle_alpha 60.00
_cell_angle_beta 60.00
_cell_angle_gamma 60.00
_space_group_name_H-M_alt 'P 1'
_space_group_IT_number 1
loop_
_space_group_symop_operation_xyz
'x,y,z'
loop_
_atom_site_label
_atom_site_type_symbol
_atom_site_fract_x
_atom_site_fract_y
_atom_site_fract_z
Be1 Be 0.000 0.000 0.000
Cu1 Cu 0.750 0.750 0.750
Ge1 Ge 0.500 0.500 0.500
Pd1 Pd 0.250 0.250 0.250
```

# 11
Here is an optimized crystal structure of BeCuGePd from OQMD via LeMat-Bulk. Energies are from PBE.

## Properties
The crystal system is cubic. The symmetry is F-43m, No. 216. The final energy comes out at -4.343 eV/atom. The energy above the most stable polymorph in this dataset is 98.6 meV per atom. The value obtained for the density is 7.97 g cm⁻³.

Cell and atoms, written as CIF:
```
data_BeCuGePd
_chemical_formula_sum 'Be1 Cu1 Ge1 Pd1'
_cell_length_a 4.201
_cell_length_b 4.201
_cell_length_c 4.201
_cell_angle_alpha 60.00
_cell_angle_beta 60.00
_cell_angle_gamma 60.00
_space_group_name_H-M_alt 'P 1'
_space_group_IT_number 1
loop_
_space_group_symop_operation_xyz
'x,y,z'
loop_
_atom_site_label
_atom_site_type_symbol
_atom_site_fract_x
_atom_site_fract_y
_atom_site_fract_z
Be1 Be 0.000 0.000 0.000
Cu1 Cu 0.500 0.500 0.500
Ge1 Ge 0.250 0.250 0.250
Pd1 Pd 0.750 0.750 0.750
```

# 12
Here is an optimized crystal structure of Pr2BeCuGe2 from OQMD via LeMat-Bulk. Energies are from PBE.

## Properties
The crystal system is hexagonal. The value obtained for the total moment is 0.004 μB/atom. The symmetry is P-6m2, No. 187. The final energy comes out at -4.978 eV/atom. The value obtained for the density is 6.62 g cm⁻³.

Cell and atoms, written as CIF:
```
data_Pr2BeCuGe2
_chemical_formula_sum 'Pr2 Be1 Cu1 Ge2'
_cell_length_a 4.104
_cell_length_b 4.104
_cell_length_c 8.598
_cell_angle_alpha 90.00
_cell_angle_beta 90.00
_cell_angle_gamma 120.00
_space_group_name_H-M_alt 'P 1'
_space_group_IT_number 1
loop_
_space_group_symop_operation_xyz
'x,y,z'
loop_
_atom_site_label
_atom_site_type_symbol
_atom_site_fract_x
_atom_site_fract_y
_atom_site_fract_z
Pr1 Pr 0.000 0.000 0.250
Pr2 Pr 0.000 0.000 0.750
Be1 Be 0.667 0.333 0.000
Cu1 Cu 0.333 0.667 0.500
Ge1 Ge 0.333 0.667 0.000
Ge2 Ge 0.667 0.333 0.500
```

# 13
Here is an optimized crystal structure of BeCu2GeS4 from OQMD via LeMat-Bulk. Energies are from PBE.

## Properties
The crystal system is tetragonal. The symmetry is I-42m, No. 121. The final energy comes out at -4.524 eV/atom. The value obtained for the density is 4.01 g cm⁻³.

Cell and atoms, written as CIF:
```
data_BeCu2GeS4
_chemical_formula_sum 'Be1 Cu2 Ge1 S4'
_cell_length_a 6.447
_cell_length_b 6.447
_cell_length_c 6.447
_cell_angle_alpha 133.30
_cell_angle_beta 133.30
_cell_angle_gamma 68.18
_space_group_name_H-M_alt 'P 1'
_space_group_IT_number 1
loop_
_space_group_symop_operation_xyz
'x,y,z'
loop_
_atom_site_label
_atom_site_type_symbol
_atom_site_fract_x
_atom_site_fract_y
_atom_site_fract_z
Be1 Be 0.000 0.000 0.000
Cu1 Cu 0.250 0.750 0.500
Cu2 Cu 0.750 0.250 0.500
Ge1 Ge 0.500 0.500 0.000
S1 S 0.118 0.118 0.476
S2 S 0.358 0.882 0.000
S3 S 0.642 0.642 0.524
S4 S 0.882 0.358 0.000
```

# 14
Here is an optimized crystal structure of ScBeCu4Ge2 from OQMD via LeMat-Bulk. Energies are from PBE.

## Properties
The crystal system is tetragonal. The value obtained for the total moment is 0.000 μB/atom. The symmetry is P4/mmm, No. 123. The final energy comes out at -4.362 eV/atom. The value obtained for the density is 6.86 g cm⁻³.

Cell and atoms, written as CIF:
```
data_ScBeCu4Ge2
_chemical_formula_sum 'Sc1 Be1 Cu4 Ge2'
_cell_length_a 4.125
_cell_length_b 4.125
_cell_length_c 6.449
_cell_angle_alpha 90.00
_cell_angle_beta 90.00
_cell_angle_gamma 90.00
_space_group_name_H-M_alt 'P 1'
_space_group_IT_number 1
loop_
_space_group_symop_operation_xyz
'x,y,z'
loop_
_atom_site_label
_atom_site_type_symbol
_atom_site_fract_x
_atom_site_fract_y
_atom_site_fract_z
Sc1 Sc 0.000 0.000 0.000
Be1 Be 0.500 0.500 0.500
Cu1 Cu 0.000 0.500 0.287
Cu2 Cu 0.000 0.500 0.713
Cu3 Cu 0.500 0.000 0.287
Cu4 Cu 0.500 0.000 0.713
Ge1 Ge 0.000 0.000 0.500
Ge2 Ge 0.500 0.500 0.000
```

# 15
Here is an optimized crystal structure of BeCuGeW from OQMD via LeMat-Bulk. Energies are from PBE.

## Properties
The crystal system is cubic. The value obtained for the total moment is 0.294 μB/atom. The symmetry is F-43m, No. 216. The final energy comes out at -5.535 eV/atom. The energy above the most stable polymorph in this dataset is 271.6 meV per atom. The value obtained for the density is 10.25 g cm⁻³.

Cell and atoms, written as CIF:
```
data_BeCuGeW
_chemical_formula_sum 'Be1 Cu1 Ge1 W1'
_cell_length_a 4.225
_cell_length_b 4.225
_cell_length_c 4.225
_cell_angle_alpha 60.00
_cell_angle_beta 60.00
_cell_angle_gamma 60.00
_space_group_name_H-M_alt 'P 1'
_space_group_IT_number 1
loop_
_space_group_symop_operation_xyz
'x,y,z'
loop_
_atom_site_label
_atom_site_type_symbol
_atom_site_fract_x
_atom_site_fract_y
_atom_site_fract_z
Be1 Be 0.000 0.000 0.000
Cu1 Cu 0.500 0.500 0.500
Ge1 Ge 0.250 0.250 0.250
W1 W 0.750 0.750 0.750
```